#1
Entry from Alexandria: a geometry-optimized RbHf3Br structure (PBE-GGA).

Cell lengths 5.2185, 5.2185, 5.2185 Å; angles 90.00, 90.00, 90.00 degrees
Fractional positions:
1 Rb 0.0000 0.0000 0.0000
2 Hf 0.0000 0.0000 0.5000
3 Hf 0.0000 0.5000 0.0000
4 Hf 0.5000 0.0000 0.0000
5 Br 0.5000 0.5000 0.5000

Calculated values
magnetization	0.000	μB/atom



#2
Entry from Alexandria: a geometry-optimized RbHf3Br structure (PBE-GGA).

Cell lengths 5.1692, 5.1692, 5.1692 Å; angles 90.00, 90.00, 90.00 degrees
Fractional positions:
1 Rb 0.0000 0.0000 0.0000
2 Hf 0.0000 0.5000 0.5000
3 Hf 0.5000 0.0000 0.5000
4 Hf 0.5000 0.5000 0.0000
5 Br 0.5000 0.5000 0.5000

Calculated values
magnetization	0.000	μB/atom



Order from most stable to least stable according to the calculation: #2, #1



#1
Entry from Alexandria: a geometry-optimized RbHf2Br8 structure (PBE-GGA).

Cell lengths 9.1660, 9.1660, 7.3317 Å; angles 90.00, 90.00, 120.00 degrees
Fractional positions:
1 Rb 0.0000 0.0000 0.0000
2 Hf 0.3333 0.6667 0.3778
3 Hf 0.6667 0.3333 0.6222
4 Br 0.1826 0.3681 0.2679
5 Br 0.1855 0.8174 0.2679
6 Br 0.3333 0.6667 0.7156
7 Br 0.3681 0.1855 0.7321
8 Br 0.6319 0.8145 0.2679
9 Br 0.6667 0.3333 0.2844
10 Br 0.8145 0.1826 0.7321
11 Br 0.8174 0.6319 0.7321

Calculated values
magnetization	0.093	μB/atom



#2
Entry from Alexandria: a geometry-optimized RbHf2Br8 structure (PBE-GGA).

Cell lengths 8.2899, 8.2899, 8.9150 Å; angles 104.85, 104.85, 57.00 degrees
Fractional positions:
1 Rb 0.0000 0.0000 0.0000
2 Hf 0.2051 0.2051 0.6887
3 Hf 0.7949 0.7949 0.3113
4 Br 0.1185 0.6263 0.2206
5 Br 0.1716 0.1716 0.3966
6 Br 0.3737 0.8815 0.7794
7 Br 0.3820 0.3820 0.8146
8 Br 0.6180 0.6180 0.1854
9 Br 0.6263 0.1185 0.2206
10 Br 0.8284 0.8284 0.6034
11 Br 0.8815 0.3737 0.7794

Calculated values
magnetization	0.094	μB/atom



Order from most stable to least stable according to the calculation: #2, #1



#1
Entry from Alexandria: a geometry-optimized HfRe3Br structure (PBE-GGA).

Cell lengths 4.5517, 4.5517, 4.5517 Å; angles 90.00, 90.00, 90.00 degrees
Fractional positions:
1 Hf 0.0000 0.0000 0.0000
2 Re 0.0000 0.5000 0.5000
3 Re 0.5000 0.0000 0.5000
4 Re 0.5000 0.5000 0.0000
5 Br 0.5000 0.5000 0.5000

Calculated values
magnetization	0.000	μB/atom



#2
Entry from Alexandria: a geometry-optimized HfRe3Br structure (PBE-GGA).

Cell lengths 4.9284, 4.9284, 4.9284 Å; angles 90.00, 90.00, 90.00 degrees
Fractional positions:
1 Hf 0.0000 0.0000 0.0000
2 Re 0.0000 0.0000 0.5000
3 Re 0.0000 0.5000 0.0000
4 Re 0.5000 0.0000 0.0000
5 Br 0.5000 0.5000 0.5000

Calculated values
magnetization	0.971	μB/atom



Order from most stable to least stable according to the calculation: #1, #2



#1
Entry from Alexandria: a geometry-optimized HfReSeBr2 structure (PBE-GGA).

Cell lengths 5.0898, 5.0898, 4.7612 Å; angles 90.00, 90.00, 90.00 degrees
Fractional positions:
1 Hf 0.0000 0.0000 0.0000
2 Re 0.5000 0.5000 0.5000
3 Se 0.5000 0.5000 0.0000
4 Br 0.0000 0.5000 0.5000
5 Br 0.5000 0.0000 0.5000

Calculated values
magnetization	0.001	μB/atom



#2
Entry from Alexandria: a geometry-optimized HfReSeBr2 structure (PBE-GGA).

Cell lengths 5.3048, 5.3048, 5.1668 Å; angles 90.00, 90.00, 90.00 degrees
Fractional positions:
1 Hf 0.0000 0.0000 0.0000
2 Re 0.5000 0.5000 0.5000
3 Se 0.0000 0.0000 0.5000
4 Br 0.0000 0.5000 0.0000
5 Br 0.5000 0.0000 0.0000

Calculated values
magnetization	1.095	μB/atom



Order from most stable to least stable according to the calculation: #2, #1